1.
Computed, not measured: a relaxed Ba2Cd4PdPt3 crystal at the PBE level of DFT.

a = 4.7006 Å, b = 4.7006 Å, c = 11.2817 Å
α = 90.00°, β = 90.00°, γ = 90.00°
Sites, in units of the cell vectors:
Ba 0.0000 0.5000 0.2393
Ba 0.5000 0.0000 0.7607
Cd 0.0000 0.0000 0.5000
Cd 0.0000 0.5000 0.8766
Cd 0.5000 0.0000 0.1234
Cd 0.5000 0.5000 0.5000
Pd 0.5000 0.5000 0.0000
Pt 0.0000 0.0000 0.0000
Pt 0.0000 0.5000 0.6361
Pt 0.5000 0.0000 0.3639

## Properties
* D(E_F): 0.392 states/eV per atom
* energy of formation from the pure elements: -47 kJ/mol of atoms



2.
Computed, not measured: a relaxed RbBa2CdPd crystal at the PBE level of DFT.

a = 6.2740 Å, b = 6.2740 Å, c = 5.5996 Å
α = 90.00°, β = 90.00°, γ = 90.00°
Sites, in units of the cell vectors:
Rb 0.0000 0.0000 0.0000
Ba 0.0000 0.5000 0.5000
Ba 0.5000 0.0000 0.5000
Cd 0.5000 0.5000 0.0000
Pd 0.5000 0.5000 0.5000

## Properties
* D(E_F): 0.760 states/eV per atom
* energy of formation from the pure elements: -19 kJ/mol of atoms



3.
Computed, not measured: a relaxed BaCdRe2Pd crystal at the PBE level of DFT.

a = 4.8727 Å, b = 4.8727 Å, c = 5.8992 Å
α = 90.00°, β = 90.00°, γ = 90.00°
Sites, in units of the cell vectors:
Ba 0.0000 0.0000 0.0000
Cd 0.5000 0.5000 0.0000
Re 0.0000 0.5000 0.5000
Re 0.5000 0.0000 0.5000
Pd 0.0000 0.0000 0.5000

## Properties
* D(E_F): 1.095 states/eV per atom
* energy of formation from the pure elements: 165 kJ/mol of atoms



4.
Computed, not measured: a relaxed BaCdPd2Rh crystal at the PBE level of DFT.

a = 5.0589 Å, b = 5.0589 Å, c = 5.4875 Å
α = 90.00°, β = 90.00°, γ = 90.00°
Sites, in units of the cell vectors:
Ba 0.0000 0.0000 0.0000
Cd 0.5000 0.5000 0.0000
Pd 0.0000 0.5000 0.5000
Pd 0.5000 0.0000 0.5000
Rh 0.0000 0.0000 0.5000

## Properties
* D(E_F): 1.133 states/eV per atom
* energy of formation from the pure elements: 44 kJ/mol of atoms



5.
Computed, not measured: a relaxed BaCd2PdRh crystal at the PBE level of DFT.

a = 5.1739 Å, b = 5.1739 Å, c = 5.1732 Å
α = 90.00°, β = 90.00°, γ = 90.00°
Sites, in units of the cell vectors:
Ba 0.0000 0.0000 0.0000
Cd 0.0000 0.5000 0.5000
Cd 0.5000 0.0000 0.5000
Pd 0.5000 0.5000 0.5000
Rh 0.5000 0.5000 0.0000

## Properties
* D(E_F): 0.796 states/eV per atom
* energy of formation from the pure elements: 5 kJ/mol of atoms



6.
Computed, not measured: a relaxed BaCdSbPd6 crystal at the PBE level of DFT.

a = 8.1886 Å, b = 8.1886 Å, c = 8.1886 Å
α = 128.74°, β = 106.81°, γ = 94.88°
Sites, in units of the cell vectors:
Ba 0.4916 0.2416 0.2500
Ba 0.5084 0.7584 0.7500
Cd 0.0000 0.0000 0.5000
Cd 0.0000 0.5000 0.0000
Sb 0.0000 0.0000 0.0000
Sb 0.5000 0.0000 0.5000
Pd 0.1154 0.4352 0.2978
Pd 0.1154 0.8176 0.6803
Pd 0.1839 0.9339 0.2500
Pd 0.2201 0.4701 0.7500
Pd 0.3626 0.1824 0.7978
Pd 0.3626 0.5648 0.1803
Pd 0.6374 0.4352 0.8197
Pd 0.6374 0.8176 0.2022
Pd 0.7799 0.5299 0.2500
Pd 0.8161 0.0661 0.7500
Pd 0.8846 0.1824 0.3197
Pd 0.8846 0.5648 0.7022

## Properties
* D(E_F): 0.400 states/eV per atom



7.
Computed, not measured: a relaxed BaCd2SbPd4 crystal at the PBE level of DFT.

a = 9.9320 Å, b = 9.9320 Å, c = 9.9320 Å
α = 27.01°, β = 27.01°, γ = 27.01°
Sites, in units of the cell vectors:
Ba 0.0000 0.0000 0.0000
Cd 0.2417 0.2417 0.2417
Cd 0.7583 0.7583 0.7583
Sb 0.5000 0.5000 0.5000
Pd 0.1354 0.1354 0.1354
Pd 0.4080 0.4080 0.4080
Pd 0.5920 0.5920 0.5920
Pd 0.8646 0.8646 0.8646

## Properties
* D(E_F): 0.685 states/eV per atom



8.
Computed, not measured: a relaxed BaCdSb2Pd5 crystal at the PBE level of DFT.

a = 4.4984 Å, b = 4.4984 Å, c = 10.9442 Å
α = 90.00°, β = 90.00°, γ = 90.00°
Sites, in units of the cell vectors:
Ba 0.0000 0.0000 0.0000
Cd 0.0000 0.0000 0.5000
Sb 0.5000 0.5000 0.2350
Sb 0.5000 0.5000 0.7650
Pd 0.0000 0.5000 0.3555
Pd 0.0000 0.5000 0.6445
Pd 0.5000 0.0000 0.3555
Pd 0.5000 0.0000 0.6445
Pd 0.5000 0.5000 0.0000

## Properties
* D(E_F): 0.565 states/eV per atom



Number 1: total DFT energy (no corrections) -3.5720 eV/atom. Number 2: total DFT energy (no corrections) -2.3824 eV/atom. Number 3: total DFT energy (no corrections) -4.8727 eV/atom. Number 4: total DFT energy (no corrections) -3.6554 eV/atom. Number 5: total DFT energy (no corrections) -3.2028 eV/atom. Number 6: total DFT energy (no corrections) -4.4248 eV/atom. Number 7: total DFT energy (no corrections) -3.9832 eV/atom. Number 8: total DFT energy (no corrections) -4.5053 eV/atom.